No. 1
! PBE Cs3PrSm2Se6, relaxed; values from VASP
&SYSTEM
  ibrav = 0, nat = 12, ntyp = 4
/
ATOMIC_SPECIES
Cs 132.91 Cs.upf
Se 78.96 Se.upf
Sm 150.36 Sm.upf
Pr 140.91 Pr.upf
CELL_PARAMETERS angstrom
-3.5606 -6.4846 -1.6819
6.9163 1.3668 -2.8022
2.3330 -1.9377 8.2375
ATOMIC_POSITIONS angstrom
Cs 2.8444 -3.5277 1.8767
Cs 6.3439 -0.9052 1.5025
Cs -0.6551 -6.1503 2.2509
Se 6.2370 -4.1725 3.0422
Se 2.8129 -2.9767 5.4444
Se -0.5483 -2.8830 0.7111
Se 2.9924 -0.2296 0.3325
Se 2.6963 -6.8259 3.4208
Se 2.8758 -4.0788 -1.6911
Sm -0.0687 -3.8678 -2.0553
Sm 3.4245 -1.2500 -2.4288
Pr 0.0000 0.0000 0.0000
! - Formation energy (no corrections): -1729 meV/atom

No. 2
! PBE La4Rh5, relaxed; values from VASP
&SYSTEM
  ibrav = 0, nat = 9, ntyp = 2
/
ATOMIC_SPECIES
La 138.91 La.upf
Rh 102.91 Rh.upf
CELL_PARAMETERS angstrom
-4.9109 4.9109 2.1164
4.9109 -4.9109 2.1164
4.9109 4.9109 -2.1164
ATOMIC_POSITIONS angstrom
La 7.0863 0.0000 0.0000
La 0.0000 7.0863 0.0000
La 0.0000 2.7354 0.0000
La 2.7354 0.0000 0.0000
Rh 0.0000 0.0000 0.0000
Rh 1.5795 -1.5795 2.1164
Rh 1.5795 1.5795 2.1164
Rh -1.5795 1.5795 2.1164
Rh 3.3313 3.3313 0.0000
! - Formation energy from the elements: -0.55 eV per atom
! - Distance to the lowest polymorph of the same formula: 0 meV/atom

No. 3
! PBE LuSnRh2, relaxed; values from VASP
&SYSTEM
  ibrav = 0, nat = 4, ntyp = 3
/
ATOMIC_SPECIES
Sn 118.71 Sn.upf
Rh 102.91 Rh.upf
Lu 174.97 Lu.upf
CELL_PARAMETERS angstrom
-1.3155 2.6687 -1.6195
-1.4426 -2.0782 -2.2528
-5.1250 -0.3428 3.5980
ATOMIC_POSITIONS angstrom
Sn -1.3790 0.2952 -1.9362
Rh -3.9087 -0.2615 2.7441
Rh -1.2164 -0.0814 0.8539
Lu -3.9415 0.1238 -0.1372
! - Formation energy from the elements: -0.75 eV per atom

No. 4
! PBE Ga4GeIr2, relaxed; values from VASP
&SYSTEM
  ibrav = 0, nat = 7, ntyp = 3
/
ATOMIC_SPECIES
Ga 69.72 Ga.upf
Ir 192.22 Ir.upf
Ge 72.64 Ge.upf
CELL_PARAMETERS angstrom
-2.7801 -2.9713 -1.2937
1.3866 -3.8844 -1.1047
-1.4039 -4.9074 7.2418
ATOMIC_POSITIONS angstrom
Ga -1.6486 -6.5790 4.5608
Ga -0.8538 -3.3719 2.5330
Ga -1.9436 -8.3911 2.3105
Ga -1.1488 -5.1840 0.2827
Ir -1.1464 -4.1885 5.0372
Ir -1.6511 -7.5745 -0.1937
Ge 0.0000 0.0000 0.0000
! - Formation energy from the elements: -0.27 eV per atom

No. 5
! PBE ZrNb3Co, relaxed; values from VASP
&SYSTEM
  ibrav = 0, nat = 5, ntyp = 3
/
ATOMIC_SPECIES
Nb 92.91 Nb.upf
Zr 91.22 Zr.upf
Co 58.93 Co.upf
CELL_PARAMETERS angstrom
-3.3413 3.2247 0.1495
-1.3951 -1.2483 -4.2521
-2.9111 -3.1029 1.8661
ATOMIC_POSITIONS angstrom
Nb -1.4556 -1.5515 0.9330
Nb -1.6706 1.6123 0.0748
Nb -0.6975 -0.6242 -2.1260
Zr -3.8237 -0.5633 -1.1182
Co 0.0000 0.0000 0.0000
! - Formation energy from the elements: 0.53 eV per atom
! - Distance to the lowest polymorph of the same formula: 0 meV/atom

No. 6
! PBE UMnZn17, relaxed; values from VASP
&SYSTEM
  ibrav = 0, nat = 19, ntyp = 3
/
ATOMIC_SPECIES
Zn 65.41 Zn.upf
U 238.03 U.upf
Mn 54.94 Mn.upf
CELL_PARAMETERS angstrom
6.7164 0.0647 0.8648
0.7688 6.6725 0.8648
0.0719 0.0647 6.7714
ATOMIC_POSITIONS angstrom
Zn 4.5222 1.2019 5.0871
Zn 2.5442 4.5863 0.8981
Zn 2.0721 0.1095 4.8998
Zn 6.7990 6.1197 7.6483
Zn 5.9465 2.3950 3.3808
Zn 0.7725 0.6954 0.8690
Zn 3.0054 5.6625 3.3808
Zn 4.8565 4.3712 2.2540
Zn 2.6608 2.3950 6.3016
Zn 7.4179 6.6768 5.1040
Zn 4.8279 2.0492 0.8981
Zn 0.3262 2.0492 4.8998
Zn 4.1997 6.6768 7.9649
Zn 7.0804 3.4763 7.9649
Zn 1.6695 4.3712 5.0871
Zn 0.5938 4.5863 2.6319
Zn 4.6233 0.1095 2.6319
U 4.9860 4.4878 5.6088
Mn 2.8878 2.5993 3.2485
! - Formation energy from the elements: 0.03 eV per atom

No. 7
! PBE Pu3Al4Ge4, relaxed; values from VASP
&SYSTEM
  ibrav = 0, nat = 11, ntyp = 3
/
ATOMIC_SPECIES
Ge 72.64 Ge.upf
Pu 244.00 Pu.upf
Al 26.98 Al.upf
CELL_PARAMETERS angstrom
-1.6301 1.5834 -3.3548
-5.2396 -6.0975 -0.3319
-0.9569 5.8232 5.6605
ATOMIC_POSITIONS angstrom
Ge -4.8966 -3.9581 -1.9360
Ge -1.9731 -0.5559 -1.7508
Ge -3.2140 2.7396 0.4076
Ge -4.6126 -1.4305 1.5661
Pu -2.6198 -3.0487 -0.1659
Pu -0.9691 0.7869 0.8423
Pu -6.8576 0.5222 1.1315
Al -1.7867 3.4904 2.5155
Al -6.0400 -2.1813 -0.5418
Al -3.9753 0.2214 -0.4110
Al -3.8513 1.0877 2.3847
! - Formation energy from the elements: -0.29 eV per atom

No. 8
! PBE CaTm2ThSb4, relaxed; values from VASP
&SYSTEM
  ibrav = 0, nat = 8, ntyp = 4
/
ATOMIC_SPECIES
Sb 121.76 Sb.upf
Tm 168.93 Tm.upf
Ca 40.08 Ca.upf
Th 232.04 Th.upf
CELL_PARAMETERS angstrom
6.2627 0.3411 0.0000
-0.3411 6.2627 0.0000
-2.9608 -3.3019 6.2767
ATOMIC_POSITIONS angstrom
Sb 5.7210 3.0574 0.0000
Sb 2.5884 2.8866 3.1435
Sb -0.3724 -0.4153 3.1332
Sb 2.4179 6.0192 0.0000
Tm 2.7592 -0.2445 3.1384
Tm -0.5427 2.7163 3.1384
Ca 2.5894 2.8878 0.0000
Th 5.5490 6.1883 0.0000
! - Formation energy (no corrections): -1003 meV/atom

No. 9
! PBE FeTc2Ag, relaxed; values from VASP
&SYSTEM
  ibrav = 0, nat = 4, ntyp = 3
/
ATOMIC_SPECIES
Tc 98.00 Tc.upf
Ag 107.87 Ag.upf
Fe 55.84 Fe.upf
CELL_PARAMETERS angstrom
2.6911 0.0000 0.0000
0.0000 3.9213 0.0000
0.0000 0.0000 5.5360
ATOMIC_POSITIONS angstrom
Tc 0.0000 0.0000 5.3416
Tc 0.0000 0.0000 2.9624
Ag 1.3455 1.9607 1.3840
Fe 1.3455 1.9607 4.1520
! - Formation energy from the elements: 0.38 eV per atom
! - Distance to the lowest polymorph of the same formula: 61 meV/atom

No. 10
! PBE NaAgGePd, relaxed; values from VASP
&SYSTEM
  ibrav = 0, nat = 4, ntyp = 4
/
ATOMIC_SPECIES
Pd 106.42 Pd.upf
Ge 72.64 Ge.upf
Na 22.99 Na.upf
Ag 107.87 Ag.upf
CELL_PARAMETERS angstrom
-3.3293 1.3931 -2.8476
-4.2715 0.6154 1.5842
-1.7216 4.2457 0.3791
ATOMIC_POSITIONS angstrom
Pd -6.9917 4.6907 -0.6633
Ge 0.0000 0.0000 0.0000
Na -4.6612 3.1271 -0.4422
Ag -2.3306 1.5636 -0.2211
! - Formation energy from the elements: -0.09 eV per atom

No. 11
! PBE Rb3Sc2Te4, relaxed; values from VASP
&SYSTEM
  ibrav = 0, nat = 9, ntyp = 3
/
ATOMIC_SPECIES
Rb 85.47 Rb.upf
Sc 44.96 Sc.upf
Te 127.60 Te.upf
CELL_PARAMETERS angstrom
-2.9506 -3.6898 1.3109
7.4868 -1.2026 4.2978
-7.5453 7.3723 3.7673
ATOMIC_POSITIONS angstrom
Rb 2.5807 -0.4377 4.5770
Rb -5.5899 2.9176 4.7990
Rb 0.0000 0.0000 0.0000
Sc -1.9541 -0.2974 3.9336
Sc -1.0552 2.7773 5.4423
Te -1.7046 2.3036 2.6471
Te -1.3046 0.1763 6.7289
Te -2.8410 4.5584 6.4357
Te -0.1682 -2.0785 2.9402
! - Formation energy (no corrections): -1071 meV/atom

No. 12
! PBE SiN, relaxed; values from VASP
&SYSTEM
  ibrav = 0, nat = 8, ntyp = 2
/
ATOMIC_SPECIES
Si 28.09 Si.upf
N 14.01 N.upf
CELL_PARAMETERS angstrom
-2.0139 0.6346 5.5759
-4.5918 -3.5919 -1.2497
1.5537 -2.2714 0.8197
ATOMIC_POSITIONS angstrom
Si -2.1844 -2.0543 3.4774
Si -5.7304 -2.5655 3.7529
Si -2.8676 -3.1745 1.6684
Si -0.8754 -0.3919 0.5733
N -0.8088 -1.8456 1.4483
N -2.6840 -0.4641 3.8015
N -3.9217 -2.4932 0.5247
N -4.2432 -3.3832 3.6975
! - Formation energy (no corrections): -254 meV/atom
! - Distance to the lowest polymorph of the same formula: 497 meV/atom

No. 13
! PBE Tb2FeSi3, relaxed; values from VASP
&SYSTEM
  ibrav = 0, nat = 12, ntyp = 3
/
ATOMIC_SPECIES
Si 28.09 Si.upf
Tb 158.93 Tb.upf
Fe 55.84 Fe.upf
CELL_PARAMETERS angstrom
-2.0577 -4.1900 -3.2644
3.8030 -3.5824 2.2695
-5.4344 2.2200 5.5116
ATOMIC_POSITIONS angstrom
Si 1.5156 -4.0241 1.7077
Si -1.5699 -0.5734 1.7256
Si -2.3547 -1.2328 5.5001
Si -1.3345 -4.3196 -0.9834
Si -2.1193 -4.9790 2.7911
Si -5.2047 -1.5283 2.8090
Tb 0.4386 -1.9533 -0.2500
Tb -3.3098 -2.9281 0.8749
Tb -0.3794 -2.6243 3.6418
Tb 1.3067 -5.8190 -0.7449
Fe -0.6341 -4.4365 1.1587
Fe -3.0550 -1.1159 3.3580
! - Formation energy (no corrections): -643 meV/atom

No. 14
! PBE Tl2AgPb2, relaxed; values from VASP
&SYSTEM
  ibrav = 0, nat = 10, ntyp = 3
/
ATOMIC_SPECIES
Pb 207.20 Pb.upf
Ag 107.87 Ag.upf
Tl 204.38 Tl.upf
CELL_PARAMETERS angstrom
-7.3006 1.9004 1.3246
-2.2946 -5.3326 -4.9963
-0.2077 -3.3748 3.6973
ATOMIC_POSITIONS angstrom
Pb -2.7846 -4.9022 -1.2363
Pb -7.0183 -1.9048 1.2619
Pb -2.9541 -1.8931 1.5008
Pb -6.8488 -4.9138 -1.4752
Ag -4.7976 -1.7161 -1.8359
Ag 0.0000 0.0000 0.0000
Tl -5.0816 0.4382 0.1146
Tl -1.8941 -1.5874 -1.5553
Tl -4.5136 -3.8704 -3.7863
Tl -7.7012 -1.8448 -2.1165
! - Formation energy from the elements: 0.16 eV per atom
! - Distance to the lowest polymorph of the same formula: 49 meV/atom

No. 15
! PBE Tl3ZnB, relaxed; values from VASP
&SYSTEM
  ibrav = 0, nat = 5, ntyp = 3
/
ATOMIC_SPECIES
Zn 65.41 Zn.upf
Tl 204.38 Tl.upf
B 10.81 B.upf
CELL_PARAMETERS angstrom
-3.8429 -3.4722 -1.2096
2.5645 -3.7850 2.7175
-2.6349 1.3803 4.4090
ATOMIC_POSITIONS angstrom
Zn 0.0000 0.0000 0.0000
Tl 1.2823 -1.8925 1.3588
Tl -1.9215 -1.7361 -0.6048
Tl -1.3175 0.6901 2.2045
B -1.9567 -2.9385 2.9585
! - Formation energy from the elements: 1.16 eV per atom
! - Distance to the lowest polymorph of the same formula: 473 meV/atom

No. 16
! PBE Ti2MnCrCl, relaxed; values from VASP
&SYSTEM
  ibrav = 0, nat = 5, ntyp = 4
/
ATOMIC_SPECIES
Ti 47.87 Ti.upf
Cr 52.00 Cr.upf
Cl 35.45 Cl.upf
Mn 54.94 Mn.upf
CELL_PARAMETERS angstrom
4.6201 0.0000 0.0000
0.0000 4.3625 0.0000
0.0000 0.0000 4.6201
ATOMIC_POSITIONS angstrom
Ti 2.3100 0.0000 0.0000
Ti 0.0000 0.0000 2.3100
Cr 0.0000 0.0000 0.0000
Cl 0.0000 2.1812 0.0000
Mn 2.3100 2.1812 2.3100
! - Formation energy (no corrections): 818 meV/atom

No. 17
! PBE Ca3Pd2Pb2, relaxed; values from VASP
&SYSTEM
  ibrav = 0, nat = 28, ntyp = 3
/
ATOMIC_SPECIES
Pb 207.20 Pb.upf
Ca 40.08 Ca.upf
Pd 106.42 Pd.upf
CELL_PARAMETERS angstrom
-0.5767 5.1327 2.9736
-8.4854 -0.2370 -1.2364
-1.5731 -7.2353 12.1835
ATOMIC_POSITIONS angstrom
Pb -7.5450 -0.2851 7.1982
Pb -6.7584 3.3325 1.1064
Pb -2.5063 -0.9670 11.6147
Pb -8.1288 -1.3726 2.3061
Pb -6.3185 -4.9177 8.7763
Pb -4.3167 2.5781 5.1445
Pb -2.3036 1.5632 0.6309
Pb -3.0902 -2.0544 6.7226
Ca -2.0164 1.3605 7.2736
Ca -1.5345 3.5767 3.5416
Ca -8.6187 -3.7000 6.6472
Ca -3.5395 -3.5984 9.9186
Ca -2.7005 0.0207 3.8344
Ca -5.3871 -0.0141 0.9117
Ca -9.1006 -5.9163 10.3792
Ca -4.7662 -0.1092 9.2771
Ca -7.0956 1.2589 4.0022
Ca -5.8690 -2.2303 4.6437
Ca -5.2480 -2.3255 13.0091
Ca -7.9346 -2.3602 10.0864
Pd -5.7644 -2.4364 7.6565
Pd -4.8708 0.0969 6.2643
Pd -4.3682 2.4082 2.3721
Pd -8.9779 -1.2278 4.9473
Pd -8.4754 1.0835 1.0551
Pd -1.6572 -1.1117 8.9735
Pd -2.1598 -3.4231 12.8657
Pd -6.2669 -4.7478 11.5487
! - Formation energy from the elements: -0.64 eV per atom

No. 18
! PBE TbPaTl2O6, relaxed; values from VASP
&SYSTEM
  ibrav = 0, nat = 10, ntyp = 4
/
ATOMIC_SPECIES
Tl 204.38 Tl.upf
O 16.00 O.upf
Tb 158.93 Tb.upf
Pa 231.04 Pa.upf
CELL_PARAMETERS angstrom
6.0225 0.0000 -0.3838
0.0000 6.2551 0.0000
-2.7510 -3.1276 4.4439
ATOMIC_POSITIONS angstrom
Tl 3.3013 3.1276 1.9077
Tl -0.0298 0.0000 2.1525
O 0.8751 3.1276 2.1545
O 4.5151 4.7146 0.3192
O -1.2436 -1.5871 3.7409
O -1.2436 1.5871 3.7409
O 4.5151 1.5405 0.3192
O 2.3964 0.0000 1.9057
Tb 0.0000 3.1276 0.0000
Pa 3.0113 0.0000 -0.1919
! - Formation energy (no corrections): -2279 meV/atom

No. 19
! PBE Tb3Pm2Sm, relaxed; values from VASP
&SYSTEM
  ibrav = 0, nat = 12, ntyp = 3
/
ATOMIC_SPECIES
Pm 145.00 Pm.upf
Tb 158.93 Tb.upf
Sm 150.36 Sm.upf
CELL_PARAMETERS angstrom
6.4352 0.0000 0.0000
0.0000 7.4553 3.3033
0.0000 -0.7726 8.1176
ATOMIC_POSITIONS angstrom
Pm 3.6598 5.2410 5.5344
Pm 0.4422 4.4255 4.1406
Pm 3.6598 2.2571 7.2803
Pm 0.4422 1.4416 5.8866
Tb 3.8965 3.5647 2.6308
Tb 2.0434 6.1316 10.4793
Tb 3.8965 0.5471 4.3965
Tb 0.6789 6.1355 7.0245
Tb 0.6789 3.1179 8.7902
Tb 5.2610 0.5510 0.9417
Sm 5.0970 5.5076 9.4129
Sm 1.8794 1.1750 2.0081
! - Formation energy from the elements: 0.21 eV per atom
! - Distance to the lowest polymorph of the same formula: 95 meV/atom

No. 20
! PBE LiCdPd4, relaxed; values from VASP
&SYSTEM
  ibrav = 0, nat = 12, ntyp = 3
/
ATOMIC_SPECIES
Li 6.94 Li.upf
Pd 106.42 Pd.upf
Cd 112.41 Cd.upf
CELL_PARAMETERS angstrom
4.8530 0.0000 0.5587
0.0000 8.4499 0.0000
1.1118 0.0000 4.7426
ATOMIC_POSITIONS angstrom
Li 2.9824 0.0000 2.6506
Li 0.5559 4.2249 2.3713
Pd 3.5383 7.0508 5.0211
Pd 1.1118 5.6240 4.7418
Pd 2.9822 2.8031 2.6514
Pd 4.8531 2.8259 0.5595
Pd 2.9826 5.6468 2.6498
Pd 0.5561 7.0281 2.3705
Pd 5.4087 1.4218 2.9308
Pd 2.4266 1.3990 0.2801
Cd 0.0000 0.0000 0.0000
Cd 2.4265 4.2249 0.2793
! - Formation energy from the elements: -0.30 eV per atom
! - Distance to the lowest polymorph of the same formula: 0 meV/atom